# 1
This record from Alexandria via LeMat-Bulk describes a geometry-optimized Sr2IrOs structure. The functional is PBE-GGA.

Energy of formation from the pure elements: 0.53 eV per atom
Uncorrected energy: -85.35 eV per cell

Structure (CIF):
```
data_Sr2IrOs
_cell_length_a 11.0977
_cell_length_b 11.0977
_cell_length_c 4.7431
_cell_angle_alpha 90.00
_cell_angle_beta 90.00
_cell_angle_gamma 90.00
_symmetry_space_group_name_H-M 'I -4 2 d'
_symmetry_Int_Tables_number 122
_symmetry_space_group_name_Hall 'I -4 2bw'
loop_
_atom_site_label
_atom_site_fract_x
_atom_site_fract_y
_atom_site_fract_z
_atom_site_occupancy
Sr1 0.0756 0.2500 0.1250 1
Ir1 0.0000 0.0000 0.0000 1
Os1 0.0000 0.0000 0.5000 1
```


# 2
This record from Alexandria via LeMat-Bulk describes a geometry-optimized SrIr2Os structure. The functional is PBE-GGA.

Energy of formation from the pure elements: 0.98 eV per atom
Uncorrected energy: -106.93 eV per cell

Structure (CIF):
```
data_SrIr2Os
_cell_length_a 6.5656
_cell_length_b 6.5656
_cell_length_c 6.5656
_cell_angle_alpha 90.00
_cell_angle_beta 90.00
_cell_angle_gamma 90.00
_symmetry_space_group_name_H-M 'F -4 3 m'
_symmetry_Int_Tables_number 216
_symmetry_space_group_name_Hall 'F -4 2 3'
loop_
_atom_site_label
_atom_site_fract_x
_atom_site_fract_y
_atom_site_fract_z
_atom_site_occupancy
Sr1 0.0000 0.0000 0.0000 1
Ir1 0.0000 0.0000 0.5000 1
Ir2 0.2500 0.2500 0.7500 1
Os1 0.2500 0.2500 0.2500 1
```


# 3
This record from Alexandria via LeMat-Bulk describes a geometry-optimized SrIrOs2 structure. The functional is PBE-GGA.

Energy of formation from the pure elements: 0.92 eV per atom
Uncorrected energy: -58.63 eV per cell

Structure (CIF):
```
data_SrIrOs2
_cell_length_a 5.8094
_cell_length_b 8.6482
_cell_length_c 2.7309
_cell_angle_alpha 90.00
_cell_angle_beta 90.00
_cell_angle_gamma 90.00
_symmetry_space_group_name_H-M 'C m m m'
_symmetry_Int_Tables_number 65
_symmetry_space_group_name_Hall '-C 2 2'
loop_
_atom_site_label
_atom_site_fract_x
_atom_site_fract_y
_atom_site_fract_z
_atom_site_occupancy
Sr1 0.0000 0.0000 0.0000 1
Ir1 0.0000 0.5000 0.0000 1
Os1 0.2500 0.2500 0.5000 1
```


# 4
This record from Alexandria via LeMat-Bulk describes a geometry-optimized TaIrOs2 structure. The functional is PBE-GGA.

Energy of formation from the pure elements: 0.14 eV per atom
Uncorrected energy: -42.62 eV per cell

Structure (CIF):
```
data_TaIrOs2
_cell_length_a 2.7883
_cell_length_b 4.6783
_cell_length_c 4.8034
_cell_angle_alpha 90.00
_cell_angle_beta 92.00
_cell_angle_gamma 90.00
_symmetry_space_group_name_H-M 'P 1 2/m 1'
_symmetry_Int_Tables_number 10
loop_
_symmetry_equiv_pos_as_xyz
'x,y,z'
'-x,-y,-z'
'-x,y,-z'
'x,-y,z'
loop_
_atom_site_label
_atom_site_fract_x
_atom_site_fract_y
_atom_site_fract_z
_atom_site_occupancy
Ta1 0.0000 0.0000 0.0000 1
Ir1 0.5000 0.0000 0.5000 1
Os1 0.3263 0.5000 0.7501 1
```


# 5
This record from Alexandria via LeMat-Bulk describes a geometry-optimized TaIr2Os structure. The functional is PBE-GGA.

Energy of formation from the pure elements: -0.44 eV per atom
Uncorrected energy: -85.09 eV per cell

Structure (CIF):
```
data_TaIr2Os
_cell_length_a 3.9152
_cell_length_b 3.9152
_cell_length_c 7.9113
_cell_angle_alpha 90.00
_cell_angle_beta 90.00
_cell_angle_gamma 90.00
_symmetry_space_group_name_H-M 'I 4/m m m'
_symmetry_Int_Tables_number 139
_symmetry_space_group_name_Hall '-I 4 2'
loop_
_atom_site_label
_atom_site_fract_x
_atom_site_fract_y
_atom_site_fract_z
_atom_site_occupancy
Ta1 0.0000 0.0000 0.0000 1
Ir1 0.0000 0.5000 0.2500 1
Os1 0.0000 0.0000 0.5000 1
```


# 6
This record from Alexandria via LeMat-Bulk describes a geometry-optimized Ta2IrOs structure. The functional is PBE-GGA.

Energy of formation from the pure elements: 0.89 eV per atom
Uncorrected energy: -160.93 eV per cell

Structure (CIF):
```
data_Ta2IrOs
_cell_length_a 5.8267
_cell_length_b 5.8267
_cell_length_c 11.4636
_cell_angle_alpha 90.00
_cell_angle_beta 90.00
_cell_angle_gamma 90.00
_symmetry_space_group_name_H-M 'I -4 2 d'
_symmetry_Int_Tables_number 122
_symmetry_space_group_name_Hall 'I -4 2bw'
loop_
_atom_site_label
_atom_site_fract_x
_atom_site_fract_y
_atom_site_fract_z
_atom_site_occupancy
Ta1 0.2505 0.2500 0.1250 1
Ir1 0.0000 0.0000 0.0000 1
Os1 0.0000 0.0000 0.5000 1
```


# 7
This record from Alexandria via LeMat-Bulk describes a geometry-optimized TaIrOs2 structure. The functional is PBE-GGA.

Energy of formation from the pure elements: -0.13 eV per atom
Uncorrected energy: -87.36 eV per cell

Structure (CIF):
```
data_TaIrOs2
_cell_length_a 5.5725
_cell_length_b 7.7690
_cell_length_c 2.8116
_cell_angle_alpha 90.00
_cell_angle_beta 90.00
_cell_angle_gamma 90.00
_symmetry_space_group_name_H-M 'C m m m'
_symmetry_Int_Tables_number 65
_symmetry_space_group_name_Hall '-C 2 2'
loop_
_atom_site_label
_atom_site_fract_x
_atom_site_fract_y
_atom_site_fract_z
_atom_site_occupancy
Ta1 0.0000 0.0000 0.0000 1
Ir1 0.0000 0.5000 0.0000 1
Os1 0.2500 0.2500 0.5000 1
```


# 8
This record from Alexandria via LeMat-Bulk describes a geometry-optimized Ta2IrOs structure. The functional is PBE-GGA.

Energy of formation from the pure elements: -0.37 eV per atom
Uncorrected energy: -181.12 eV per cell

Structure (CIF):
```
data_Ta2IrOs
_cell_length_a 18.5328
_cell_length_b 2.9820
_cell_length_c 4.7323
_cell_angle_alpha 90.00
_cell_angle_beta 92.47
_cell_angle_gamma 90.00
_symmetry_space_group_name_H-M 'C 1 2/m 1'
_symmetry_Int_Tables_number 12
loop_
_symmetry_equiv_pos_as_xyz
'x,y,z'
'-x,-y,-z'
'-x,y,-z'
'x,-y,z'
'x+1/2,y+1/2,z'
'-x+1/2,-y+1/2,-z'
'-x+1/2,y+1/2,-z'
'x+1/2,-y+1/2,z'
loop_
_atom_site_label
_atom_site_fract_x
_atom_site_fract_y
_atom_site_fract_z
_atom_site_occupancy
Ta1 0.0655 0.0000 0.2628 1
Ta2 0.1812 0.0000 0.8745 1
Ir1 0.1911 0.5000 0.3818 1
Os1 0.0575 0.5000 0.7549 1
```


# 9
This record from Alexandria via LeMat-Bulk describes a geometry-optimized Ta2IrOs2 structure. The functional is PBE-GGA.

Energy of formation from the pure elements: -0.01 eV per atom
Uncorrected energy: -110.18 eV per cell

Structure (CIF):
```
data_Ta2IrOs2
_cell_length_a 7.3474
_cell_length_b 7.3474
_cell_length_c 3.0706
_cell_angle_alpha 90.00
_cell_angle_beta 90.00
_cell_angle_gamma 90.00
_symmetry_space_group_name_H-M 'P 4/m b m'
_symmetry_Int_Tables_number 127
_symmetry_space_group_name_Hall '-P 4 2ab'
loop_
_atom_site_label
_atom_site_fract_x
_atom_site_fract_y
_atom_site_fract_z
_atom_site_occupancy
Ta1 0.1670 0.3330 0.0000 1
Ir1 0.0000 0.0000 0.5000 1
Os1 0.1336 0.6336 0.5000 1
```


# 10
This record from Alexandria via LeMat-Bulk describes a geometry-optimized Ta2IrOs structure. The functional is PBE-GGA.

Energy of formation from the pure elements: -0.12 eV per atom
Uncorrected energy: -88.51 eV per cell

Structure (CIF):
```
data_Ta2IrOs
_cell_length_a 9.2540
_cell_length_b 2.8578
_cell_length_c 4.9763
_cell_angle_alpha 90.00
_cell_angle_beta 99.75
_cell_angle_gamma 90.00
_symmetry_space_group_name_H-M 'C 1 2/m 1'
_symmetry_Int_Tables_number 12
loop_
_symmetry_equiv_pos_as_xyz
'x,y,z'
'-x,-y,-z'
'-x,y,-z'
'x,-y,z'
'x+1/2,y+1/2,z'
'-x+1/2,-y+1/2,-z'
'-x+1/2,y+1/2,-z'
'x+1/2,-y+1/2,z'
loop_
_atom_site_label
_atom_site_fract_x
_atom_site_fract_y
_atom_site_fract_z
_atom_site_occupancy
Ta1 0.2484 0.0000 0.2503 1
Ir1 0.0000 0.5000 0.0000 1
Os1 0.0000 0.0000 0.5000 1
```


# 11
This record from Alexandria via LeMat-Bulk describes a geometry-optimized Ta2IrOs structure. The functional is PBE-GGA.

Energy of formation from the pure elements: -0.08 eV per atom
Uncorrected energy: -132.36 eV per cell

Structure (CIF):
```
data_Ta2IrOs
_cell_length_a 2.8657
_cell_length_b 2.8657
_cell_length_c 27.3616
_cell_angle_alpha 90.00
_cell_angle_beta 90.00
_cell_angle_gamma 120.00
_symmetry_space_group_name_H-M 'R -3 m'
_symmetry_Int_Tables_number 166
_symmetry_space_group_name_Hall '-R 3 2"'
loop_
_atom_site_label
_atom_site_fract_x
_atom_site_fract_y
_atom_site_fract_z
_atom_site_occupancy
Ta1 0.0000 0.0000 0.2503 1
Ir1 0.0000 0.0000 0.0000 1
Os1 0.0000 0.0000 0.5000 1
```


# 12
This record from Alexandria via LeMat-Bulk describes a geometry-optimized Ta2IrOs structure. The functional is PBE-GGA.

Energy of formation from the pure elements: -0.29 eV per atom
Uncorrected energy: -89.91 eV per cell

Structure (CIF):
```
data_Ta2IrOs
_cell_length_a 9.5850
_cell_length_b 2.8712
_cell_length_c 4.8243
_cell_angle_alpha 90.00
_cell_angle_beta 99.46
_cell_angle_gamma 90.00
_symmetry_space_group_name_H-M 'C 1 m 1'
_symmetry_Int_Tables_number 8
loop_
_symmetry_equiv_pos_as_xyz
'x,y,z'
'x,-y,z'
'x+1/2,y+1/2,z'
'x+1/2,-y+1/2,z'
loop_
_atom_site_label
_atom_site_fract_x
_atom_site_fract_y
_atom_site_fract_z
_atom_site_occupancy
Ta1 0.0000 0.0000 0.0000 1
Ta2 0.2242 0.0000 0.6737 1
Ir1 0.2484 0.5000 0.1840 1
Os1 0.4742 0.0000 0.4909 1
```


Question: The highest energy of formation from the pure elements belongs to which entry?
Answer: SrIr2Os